A plane-wave DFT calculation with GGA-PBEsol was carried out for an optimized crystal structure of LiAu2Br.

Output
Its relative energy among the computed polymorphs is 0.018 eV per formula unit. Its total energy is -3.2915 eV/atom. Its formation energy from raw total energies is -1.5 eV per formula unit. Its crystal system is tetragonal.

Cell lengths 3.724, 3.724, 5.952 Å; angles 90.00, 90.00, 90.00 degrees
Space group P4/mmm (No. 123)
Inequivalent atoms, fractional coordinates:
Li 0.000 0.000 0.000 [1 per cell]
Au 0.000 0.500 0.500 [2 per cell]
Br 0.500 0.500 0.000 [1 per cell]